# UCr2TcO8 (PBE+U, relaxed)
data_UCr2TcO8
_cell_length_a 6.609
_cell_length_b 6.843
_cell_length_c 6.197
_cell_angle_alpha 90.00
_cell_angle_beta 90.00
_cell_angle_gamma 90.00
_space_group_name_H-M_alt 'C m m m'
_space_group_IT_number 65
_space_group_name_Hall '-C 2 2'
loop_
_atom_site_label
_atom_site_type_symbol
_atom_site_fract_x
_atom_site_fract_y
_atom_site_fract_z
U1 U 0.000 0.000 0.000
Cr1 Cr 0.000 0.500 0.258
Tc1 Tc 0.000 0.000 0.500
O1 O 0.000 0.206 0.258
O2 O 0.189 0.500 0.000
O3 O 0.207 0.500 0.500
# uncorrected energy: -8.52 eV per atom